Computed, not measured: an optimized crystal structure of Pr12TlNi5 at the PBE-GGA level of DFT.

Properties
- Spin magnetization: 0.00 μB/cell
- Theoretical density: 7.160 Mg/m³

Lattice parameters (Å, degrees): 8.7107 8.7107 8.7107 106.69 112.17 109.60
Closest atoms and distances in Å follow each position.
Element x y z (fractional)
Ni1 0.5000 0.8774 0.3774  1 Ni 2.55, 2 Pr 2.80
Ni2 0.3699 0.3699 0.0000  1 Ni 2.61, 2 Pr 2.80
Ni3 0.5000 0.1226 0.6226  1 Ni 2.55, 2 Pr 2.80
Ni4 0.6301 0.6301 0.0000  1 Ni 2.61, 2 Pr 2.80
Ni5 0.0000 0.0000 0.0000  4 Pr 2.85
Pr1 0.8800 0.1808 0.6991  2 Ni 2.94
Pr2 0.1889 0.9838 0.7949  2 Ni 2.80-2.85
Pr3 0.3077 0.3227 0.6304  3 Ni 2.80-2.93
Pr4 0.1200 0.8192 0.3009  2 Ni 2.94
Pr5 0.8111 0.6060 0.7949  2 Ni 2.80-2.85
Pr6 0.8111 0.0162 0.2051  2 Ni 2.80-2.85
Pr7 0.1889 0.3940 0.2051  2 Ni 2.80-2.85
Pr8 0.4817 0.1808 0.3009  2 Ni 2.94
Pr9 0.6923 0.6773 0.3696  3 Ni 2.80-2.93
Pr10 0.6923 0.3227 0.0151  3 Ni 2.80-2.93
Pr11 0.3077 0.6773 0.9849  3 Ni 2.80-2.93
Pr12 0.5183 0.8192 0.6991  2 Ni 2.94
Tl1 0.0000 0.5000 0.5000  12 Pr 3.51-3.74


Computed, not measured: an optimized crystal structure of Sm5Y12Tl2 at the PBE-GGA level of DFT.

Properties
- Spin magnetization: 0.00 μB/cell
- Theoretical density: 5.866 Mg/m³

Lattice parameters (Å, degrees): 8.5403 9.7243 8.6622 101.38 90.00 116.05
Closest atoms and distances in Å follow each position.
Element x y z (fractional)
Y1 0.5165 0.6489 0.7976  1 Tl 3.18, 4 Sm 3.19-3.46, 3 Y 3.27-3.49
Y2 0.8429 0.2382 0.7424  1 Tl 3.39, 3 Sm 3.52-3.68, 3 Y 3.55-3.67
Y3 0.5555 0.1109 0.3754  5 Y 3.20-3.55, 2 Tl 3.52
Y4 0.1571 0.7618 0.2576  1 Tl 3.39, 3 Sm 3.52-3.68, 3 Y 3.55-3.67
Y5 0.4835 0.3511 0.2024  1 Tl 3.18, 4 Sm 3.19-3.46, 3 Y 3.27-3.49
Y6 0.3953 0.2382 0.7424  1 Tl 3.39, 3 Sm 3.52-3.68, 3 Y 3.55-3.67
Y7 0.0425 0.0849 0.1804  1 Sm 3.02, 1 Y 3.15, 2 Tl 3.19
Y8 0.9575 0.9151 0.8196  1 Sm 3.02, 1 Y 3.15, 2 Tl 3.19
Y9 0.8676 0.3511 0.2024  1 Tl 3.18, 4 Sm 3.19-3.46, 3 Y 3.27-3.49
Y10 0.4445 0.8891 0.6246  5 Y 3.20-3.55, 2 Tl 3.52
Y11 0.6047 0.7618 0.2576  1 Tl 3.39, 3 Sm 3.52-3.68, 3 Y 3.55-3.67
Y12 0.1324 0.6489 0.7976  1 Tl 3.18, 4 Sm 3.19-3.46, 3 Y 3.27-3.49
Tl1 0.3248 0.0000 0.0000  1 Tl 2.99, 4 Y 3.18-3.19
Tl2 0.6752 0.0000 0.0000  1 Tl 2.99, 4 Y 3.18-3.19
Sm1 0.7757 0.5513 0.5364  6 Y 3.45-3.79, 1 Sm 3.75
Sm2 0.2146 0.4292 0.0269  7 Y 3.19-3.55
Sm3 0.0000 0.0000 0.5000  2 Y 3.02
Sm4 0.2243 0.4487 0.4636  6 Y 3.45-3.79, 1 Sm 3.75
Sm5 0.7854 0.5708 0.9731  7 Y 3.19-3.55


| no. | calculated formation energy (eV per atom) |
| --- | --- |
| 1 | -0.223 |
| 2 | 0.168 |